1.
The following is a DFT calculation (GGA-PBE) of a relaxed Ba3ZnPt3 crystal.

Unit cell a=6.3161 b=6.3161 c=15.7899 alpha=110.09 beta=110.09 gamma=42.31
Closest atoms and distances in Å follow each position.
Atoms (fractional coordinates):
Ba 0.0159 0.0159 0.2669  6 Pt 3.24-3.59
Ba 0.1771 0.1771 0.5770  7 Pt 3.34-3.45
Ba 0.3558 0.3558 0.8816  6 Pt 3.28-3.46, 4 Zn 3.32-3.56
Ba 0.6442 0.6442 0.1184  6 Pt 3.28-3.46, 4 Zn 3.32-3.56
Ba 0.8229 0.8229 0.4230  7 Pt 3.34-3.45
Ba 0.9841 0.9841 0.7331  6 Pt 3.24-3.59
Zn 0.3295 0.3295 0.0871  4 Pt 2.65-2.77
Zn 0.6705 0.6705 0.9129  4 Pt 2.65-2.77
Pt 0.0933 0.0933 0.9589  3 Zn 2.65-2.77, 1 Pt 2.93
Pt 0.3158 0.3158 0.2568  1 Zn 2.74, 1 Pt 2.88
Pt 0.4685 0.4685 0.5795  2 Pt 2.87-2.88
Pt 0.5315 0.5315 0.4205  2 Pt 2.87-2.88
Pt 0.6842 0.6842 0.7432  1 Zn 2.74, 1 Pt 2.88
Pt 0.9067 0.9067 0.0411  3 Zn 2.65-2.77, 1 Pt 2.93

## Properties
Calculated total energy, eV/atom: -4.2786
Space group: No. 12
Mass density, kg/m³: 8952


2.
The following is a DFT calculation (GGA-PBE) of a relaxed LaPm5Sm4 crystal.

Unit cell a=8.0360 b=8.0360 c=8.0360 alpha=98.98 beta=98.98 gamma=133.46
Closest atoms and distances in Å follow each position.
Atoms (fractional coordinates):
La 0.0000 0.0000 0.0000  1 Pm 2.92
Pm 0.0492 0.1150 0.6200  3 Sm 3.26-3.59, 1 Pm 3.32, 1 La 3.33
Pm 0.1150 0.4950 0.0658  3 Sm 3.26-3.59, 1 Pm 3.32, 1 La 3.33
Pm 0.4292 0.0492 0.9342  3 Sm 3.26-3.59, 1 Pm 3.32, 1 La 3.33
Pm 0.4950 0.4292 0.3800  3 Sm 3.26-3.59, 1 Pm 3.32, 1 La 3.33
Pm 0.5403 0.5403 0.0000  1 La 2.92
Sm 0.1080 0.8024 0.3822  3 Pm 3.26-3.59, 1 Sm 3.36
Sm 0.4202 0.7258 0.6178  3 Pm 3.26-3.59, 1 Sm 3.36
Sm 0.7258 0.1080 0.3056  3 Pm 3.26-3.59, 1 Sm 3.36
Sm 0.8024 0.4202 0.6944  3 Pm 3.26-3.59, 1 Sm 3.36

## Properties
Calculated total energy, eV/atom: -4.5030
Space group: No. 79
Mass density, kg/m³: 7032


Number 1: energy of formation from the pure elements -4.79 eV/f.u.. Number 2: energy of formation from the pure elements 2.53 eV/f.u..